[1]
SrRe2Ir after structural relaxation. Source: Alexandria via LeMat-Bulk, functional GGA-PBE.

Cell and atoms, written as POSCAR:
```
SrRe2Ir
1.0
5.6205 -0.0052 0.0148
-2.9392 4.7908 0.0148
0.4102 0.7321 2.6184
Ir Sr Re
1 1 2
Cartesian
-1.2645 2.7614 1.3166 Ir
3.0154 0.3634 1.3166 Sr
1.3407 2.3928 0.0148 Re
0.0000 0.0000 0.0000 Re
```

Calculated values
- formation enthalpy at 0 K (kJ/mol of formula units) = 357
- calculated density (g/cm3) = 15.40
- distance to the lowest polymorph of the same formula (eV/atom) = 0.482

***

[2]
La6RuCl8 after structural relaxation. Source: Alexandria via LeMat-Bulk, functional GGA-PBE.

Cell and atoms, written as POSCAR:
```
La6RuCl8
1.0
7.0209 0.0000 2.3064
3.1316 6.2838 2.3064
0.3451 0.2136 10.7889
La Cl Ru
6 8 1
Cartesian
5.1891 4.8626 11.5440 La
1.8281 2.4754 9.9545 La
8.6695 4.0220 5.4472 La
5.3085 1.6347 3.8577 La
5.6982 0.5320 10.8307 La
4.7994 5.9653 4.5709 La
3.7566 0.8299 8.5259 Cl
3.3831 2.0939 1.5409 Cl
7.1145 4.4034 13.8608 Cl
7.0960 1.5324 6.1516 Cl
6.7409 5.6675 6.8757 Cl
7.0385 2.9921 10.0436 Cl
3.4016 4.9650 9.2500 Cl
3.4591 3.5053 5.3580 Cl
0.0000 0.0000 0.0000 Ru
```

Calculated values
- total energy (eV per atom) = -5.329
- calculated density (g/cm3) = 4.31

***

[3]
Sn6Rh5 after structural relaxation. Source: Alexandria via LeMat-Bulk, functional GGA-PBE.

Cell and atoms, written as POSCAR:
```
Sn6Rh5
1.0
-1.3684 -2.2473 3.7412
5.1600 -4.0193 -0.5265
1.8138 7.3835 2.3025
Rh Sn
5 6
Cartesian
2.4156 2.7676 2.5460 Rh
2.5800 -2.0096 -0.2632 Rh
3.1898 -1.6507 2.9712 Rh
5.0377 0.8063 2.3272 Rh
0.5676 0.3106 3.1900 Rh
2.4921 0.3860 1.1436 Sn
3.1132 0.7309 4.3736 Sn
3.2241 -4.1678 1.4717 Sn
5.0862 -1.6345 0.8788 Sn
0.5675 -2.0988 1.7430 Sn
0.5191 2.7514 4.6384 Sn
```

Calculated values
- formation enthalpy at 0 K (kJ/mol of formula units) = -358
- calculated density (g/cm3) = 9.89

***

[4]
CaAl2Cu3 after structural relaxation. Source: Alexandria via LeMat-Bulk, functional GGA-PBE.

Cell and atoms, written as POSCAR:
```
CaAl2Cu3
1.0
5.2451 0.0000 0.0000
0.0000 6.3609 0.0541
0.0000 -1.2248 6.2421
Cu Al Ca
6 4 2
Cartesian
3.9338 2.8174 0.5325 Cu
3.9338 -0.0444 2.8669 Cu
1.3113 5.1805 3.4294 Cu
1.3113 2.3188 5.7638 Cu
1.3113 4.8031 5.8880 Cu
3.9338 0.3331 0.4083 Cu
2.6226 4.7343 1.3810 Al
2.6226 0.4018 4.9152 Al
0.0000 4.7343 1.3810 Al
0.0000 0.4018 4.9152 Al
1.3113 1.6152 1.9800 Ca
3.9338 3.5210 4.3163 Ca
```

Calculated values
- formation enthalpy at 0 K (kJ/mol of formula units) = -152
- calculated density (g/cm3) = 4.53

***

[5]
Er3Tm7Mg after structural relaxation. Source: Alexandria via LeMat-Bulk, functional GGA-PBE.

Cell and atoms, written as POSCAR:
```
Er3Tm7Mg
1.0
8.4363 0.0000 0.0016
0.0000 6.8791 0.0000
0.0016 -3.4396 5.9564
Tm Er Mg
7 3 1
Cartesian
1.0105 0.0000 1.9904 Tm
0.9803 3.4396 1.9856 Tm
1.0098 -1.7168 4.9626 Tm
3.7613 3.4396 3.9362 Tm
1.0098 1.7168 4.9626 Tm
3.7620 5.1297 1.0097 Tm
3.7620 1.7494 1.0097 Tm
6.6285 1.7370 2.9696 Er
6.6280 3.4396 0.0215 Er
6.6285 5.1421 2.9696 Er
3.7617 0.0000 3.9715 Mg
```

Calculated values
- formation enthalpy at 0 K (kJ/mol of formula units) = 217
- calculated density (g/cm3) = 8.21

***

[6]
CaTm2Pd2 after structural relaxation. Source: Alexandria via LeMat-Bulk, functional GGA-PBE.

Cell and atoms, written as POSCAR:
```
CaTm2Pd2
1.0
-3.0465 -1.8196 -1.1760
0.2422 -4.6068 6.5006
-4.6133 5.2214 3.8722
Tm Pd Ca
4 4 2
Cartesian
-1.4274 -1.2272 5.5967 Tm
-0.6824 0.0960 1.6195 Tm
-3.6886 0.5186 8.7533 Tm
-2.9436 1.8418 4.7760 Tm
-1.9319 -4.1990 5.5602 Pd
-4.2947 -0.5201 5.9890 Pd
-3.1228 -0.6849 3.2078 Pd
-5.4856 2.9940 3.6366 Pd
-3.8299 1.7009 1.3481 Ca
-1.4021 -3.2132 2.6623 Ca
```

Calculated values
- formation enthalpy at 0 K (kJ/mol of formula units) = -347
- calculated density (g/cm3) = 8.26
- distance to the lowest polymorph of the same formula (eV/atom) = 0.000

***

[7]
TbAl4Pt4 after structural relaxation. Source: Alexandria via LeMat-Bulk, functional GGA-PBE.

Cell and atoms, written as POSCAR:
```
TbAl4Pt4
1.0
6.1900 0.0000 0.0000
0.0000 6.1900 0.0000
0.0000 0.0000 8.3863
Al Pt Tb
8 8 2
Cartesian
3.0950 4.7467 0.8578 Al
4.7467 3.0950 7.5286 Al
1.6517 0.0000 5.0509 Al
1.4433 3.0950 7.5286 Al
0.0000 4.5383 3.3354 Al
4.5383 0.0000 5.0509 Al
3.0950 1.4433 0.8578 Al
0.0000 1.6517 3.3354 Al
0.0000 1.7099 5.8772 Pt
4.4801 0.0000 2.5091 Pt
3.0950 1.3851 6.7023 Pt
1.3851 3.0950 1.6840 Pt
1.7099 0.0000 2.5091 Pt
3.0950 4.8049 6.7023 Pt
0.0000 4.4801 5.8772 Pt
4.8049 3.0950 1.6840 Pt
3.0950 3.0950 4.1932 Tb
0.0000 0.0000 0.0000 Tb
```

Calculated values
- formation enthalpy at 0 K (kJ/mol of formula units) = -811
- calculated density (g/cm3) = 10.82

***

[8]
CeVMo after structural relaxation. Source: Alexandria via LeMat-Bulk, functional GGA-PBE.

Cell and atoms, written as POSCAR:
```
CeVMo
1.0
5.2436 0.0000 0.0000
0.0000 5.2157 0.0000
0.0000 0.0000 8.2642
Ce Mo V
4 4 4
Cartesian
4.4254 3.1492 3.0680 Ce
1.8036 2.0665 5.1962 Ce
1.8036 4.6743 3.0680 Ce
4.4254 0.5413 5.1962 Ce
0.5075 1.9268 7.9282 Mo
0.5075 4.5346 0.3360 Mo
3.1293 3.2889 0.3360 Mo
3.1293 0.6810 7.9282 Mo
4.1333 0.8024 1.8431 V
1.5115 4.4133 6.4211 V
1.5115 1.8054 1.8431 V
4.1333 3.4102 6.4211 V
```

Calculated values
- formation enthalpy at 0 K (kJ/mol of formula units) = 90
- calculated density (g/cm3) = 8.43

***

[9]
Mg2Be2SnPt5 after structural relaxation. Source: Alexandria via LeMat-Bulk, functional GGA-PBE.

Cell and atoms, written as POSCAR:
```
Mg2Be2SnPt5
1.0
3.4665 0.0000 0.0000
0.0000 9.3879 0.0000
0.0000 0.0000 9.3879
Mg Be Pt Sn
4 4 10 2
Cartesian
0.0000 1.6312 3.0627 Mg
0.0000 3.0627 7.7567 Mg
0.0000 7.7567 6.3252 Mg
0.0000 6.3252 1.6312 Mg
0.0000 1.1364 5.8304 Be
0.0000 3.5575 1.1364 Be
0.0000 5.8304 8.2514 Be
0.0000 8.2514 3.5575 Be
1.7333 0.7082 7.3760 Pt
1.7333 8.6797 2.0119 Pt
1.7333 2.6821 5.4021 Pt
1.7333 0.0000 4.6939 Pt
1.7333 3.9858 2.6821 Pt
1.7333 7.3760 8.6797 Pt
1.7333 4.6939 0.0000 Pt
1.7333 6.7058 3.9858 Pt
1.7333 2.0119 0.7082 Pt
1.7333 5.4021 6.7058 Pt
0.0000 4.6939 4.6939 Sn
0.0000 0.0000 0.0000 Sn
```

Calculated values
- formation enthalpy at 0 K (kJ/mol of formula units) = -708
- calculated density (g/cm3) = 12.62

***

[10]
RhC2 after structural relaxation. Source: Alexandria via LeMat-Bulk, functional GGA-PBE.

Cell and atoms, written as POSCAR:
```
RhC2
1.0
-1.0042 4.1179 -2.3797
-2.6037 1.5593 3.7971
2.4452 1.2650 1.1572
C Rh
4 2
Cartesian
-0.9066 2.9508 2.5434 C
-0.2561 3.9914 0.0311 C
-0.7337 1.1546 0.2882 C
-2.8742 4.5227 1.1291 C
-1.8039 2.8386 0.7087 Rh
1.2226 0.6325 0.5786 Rh
```

Calculated values
- formation enthalpy at 0 K (kJ/mol of formula units) = 534
- calculated density (g/cm3) = 5.97
- distance to the lowest polymorph of the same formula (eV/atom) = 1.382

***

[11]
La8Pr2Nd after structural relaxation. Source: Alexandria via LeMat-Bulk, functional GGA-PBE.

Cell and atoms, written as POSCAR:
```
La8Pr2Nd
1.0
5.0911 0.0000 -1.3558
-0.5457 8.0432 -2.0489
-0.1048 -0.0796 9.8426
La Pr Nd
8 2 1
Cartesian
0.5672 1.4412 2.1296 La
4.6132 2.1245 7.0860 La
1.5054 0.6645 5.6525 La
2.7380 3.6368 0.0449 La
3.8734 6.5225 4.3082 La
-0.1726 5.8391 -0.6482 La
2.9352 7.2991 0.7853 La
1.7025 4.3268 6.3929 La
3.6818 2.8845 3.5888 Pr
0.7587 5.0792 2.8490 Pr
2.5455 0.0000 -0.6779 Nd
```

Calculated values
- formation enthalpy at 0 K (kJ/mol of formula units) = 9
- calculated density (g/cm3) = 6.37
- distance to the lowest polymorph of the same formula (eV/atom) = 0.000

***

[12]
ZnCrHg2 after structural relaxation. Source: Alexandria via LeMat-Bulk, functional GGA-PBE.

Cell and atoms, written as POSCAR:
```
ZnCrHg2
1.0
4.8647 0.2853 -0.0194
-1.3069 4.6946 -0.0194
0.0124 0.0174 3.2991
Cr Zn Hg
1 1 2
Cartesian
-0.6472 2.3560 1.6398 Cr
2.4386 0.1513 1.6398 Zn
0.0000 0.0000 0.0000 Hg
1.7789 2.4899 -0.0194 Hg
```

Calculated values
- formation enthalpy at 0 K (kJ/mol of formula units) = 124
- calculated density (g/cm3) = 11.25
- distance to the lowest polymorph of the same formula (eV/atom) = 0.032